First-principles (GGA-PBE) data for an optimized crystal structure of GaCo8B2, as listed in Alexandria via LeMat-Bulk.

Unit cell a=4.009 b=5.637 c=5.637 alpha=112.76 beta=98.97 gamma=98.97
Fractional positions:
1 Ga 0.500 0.000 0.000
2 Co 0.911 0.924 0.668
3 Co 0.911 0.668 0.924
4 Co 0.299 0.598 0.598
5 Co 0.500 0.746 0.254
6 Co 0.500 0.254 0.746
7 Co 0.701 0.402 0.402
8 Co 0.089 0.332 0.076
9 Co 0.089 0.076 0.332
10 B 0.000 0.312 0.688
11 B 0.000 0.688 0.312

Output
Total magnetization, Bohr magnetons per cell: 9.0
Formation energy, kJ/mol of formula units: -100
Space-group type: C2/m